Record 1
The following is a PBE calculation of an optimized crystal structure of Sr2Mg4Pt, from Alexandria via LeMat-Bulk.

The formation energy is -0.2174 eV per atom. Its crystal system is tetragonal. Its density of states at the Fermi level is 0.84 states/eV/atom. The magnetic moment comes out at 0.000 μB/f.u.

It has space group I4/mmm (No. 139), with a = 5.0695 Å, b = 5.0695 Å, c = 18.0957 Å, α = 90.00°, β = 90.00° and γ = 90.00°. The asymmetric unit holds Sr at (0.0000, 0.0000, 0.1651), Mg at (0.0000, 0.0000, 0.3599), Mg at (0.0000, 0.5000, 0.0000) and Pt at (0.0000, 0.0000, 0.5000).

Record 2
The following is a PBE calculation of an optimized crystal structure of PH2Cl, from Alexandria via LeMat-Bulk.

Its crystal system is orthorhombic. The calculation puts the relative energy among the computed polymorphs at 20 meV/atom. Its density of states at the Fermi level is 0.00 states/eV/atom. The magnetic moment comes out at 0.000 μB/f.u.

It has space group Pna2_1 (No. 33), with a = 5.5437 Å, b = 7.7374 Å, c = 7.2574 Å, α = 90.00°, β = 90.00° and γ = 90.00°. The asymmetric unit holds P at (0.1925, 0.0753, 0.0000), H at (0.1692, 0.1248, 0.1891), H at (0.1712, 0.7280, 0.4559) and Cl at (0.0128, 0.4108, 0.5372).

Record 3
The following is a PBE calculation of an optimized crystal structure of NbSbTe2Se, from Alexandria via LeMat-Bulk.

Its crystal system is tetragonal. The calculation puts the relative energy among the computed polymorphs at 614 meV/atom. The uncorrected formation energy comes out at 959 meV/atom. Its density of states at the Fermi level is 0.59 states/eV/atom. The magnetic moment comes out at 2.321 μB/f.u.

It has space group P4/mmm (No. 123), with a = 5.3309 Å, b = 5.3309 Å, c = 5.3257 Å, α = 90.00°, β = 90.00° and γ = 90.00°. The asymmetric unit holds Nb at (0.0000, 0.0000, 0.0000), Sb at (0.5000, 0.5000, 0.0000), Te at (0.0000, 0.5000, 0.5000) and Se at (0.5000, 0.5000, 0.5000).

Record 4
The following is a PBE calculation of an optimized crystal structure of Pm2Zn5Pd, from Alexandria via LeMat-Bulk.

The formation energy is -0.4319 eV per atom. Its crystal system is orthorhombic. The calculation puts the relative energy among the computed polymorphs at 0 meV/atom. Its density of states at the Fermi level is 0.61 states/eV/atom. The magnetic moment comes out at 0.000 μB/f.u.

It has space group Cmcm (No. 63), with a = 4.2831 Å, b = 16.3547 Å, c = 9.0524 Å, α = 90.00°, β = 90.00° and γ = 90.00°. The asymmetric unit holds Pm at (0.0000, 0.0000, 0.0000), Pm at (0.0000, 0.1910, 0.2500), Zn at (0.0000, 0.1902, 0.6090), Zn at (0.0000, 0.3491, 0.5201), Zn at (0.0000, 0.3959, 0.2500) and Pd at (0.0000, 0.4472, 0.7500).

Record 5
The following is a PBE calculation of an optimized crystal structure of Tm2Zn3Au2, from Alexandria via LeMat-Bulk.

The formation energy is -0.5749 eV per atom. Its crystal system is monoclinic. The calculation puts the relative energy among the computed polymorphs at 0 meV/atom. Its density of states at the Fermi level is 0.62 states/eV/atom. The magnetic moment comes out at 0.000 μB/f.u.

It has space group C2/m (No. 12), with a = 9.8113 Å, b = 4.4829 Å, c = 6.6140 Å, α = 90.00°, β = 110.29° and γ = 90.00°. The asymmetric unit holds Tm at (0.1465, 0.0000, 0.2674), Zn at (0.0000, 0.5000, 0.5000), Zn at (0.1013, 0.5000, 0.9241) and Au at (0.1540, 0.0000, 0.7217).

Record 6
The following is a PBE calculation of an optimized crystal structure of LiTeMo2, from Alexandria via LeMat-Bulk.

Its crystal system is tetragonal. The uncorrected formation energy comes out at 498 meV/atom. Its density of states at the Fermi level is 0.97 states/eV/atom. The magnetic moment comes out at 0.000 μB/f.u.

It has space group P4/mmm (No. 123), with a = 3.4327 Å, b = 3.4327 Å, c = 5.6697 Å, α = 90.00°, β = 90.00° and γ = 90.00°. The asymmetric unit holds Li at (0.0000, 0.0000, 0.0000), Te at (0.0000, 0.0000, 0.5000) and Mo at (0.5000, 0.5000, 0.2120).